The following is a PBE-GGA calculation of a geometry-optimized ZnIn3Fe structure, from the Alexandria database.

The structure in CIF format:
```
data_ZnIn3Fe
_space_group_name_H-M_alt 'P m -3 m'
_space_group_IT_number 221
_space_group_name_Hall '-P 4 2 3'
_cell_length_a 5.1418
_cell_length_b 5.1418
_cell_length_c 5.1418
_cell_angle_alpha 90.00
_cell_angle_beta 90.00
_cell_angle_gamma 90.00
loop_
_atom_site_label
_atom_site_type_symbol
_atom_site_fract_x
_atom_site_fract_y
_atom_site_fract_z
Zn1 Zn 0.0000 0.0000 0.0000
In1 In 0.0000 0.0000 0.5000
Fe1 Fe 0.5000 0.5000 0.5000
```

For the energy, the calculation gives -13.8 eV/cell. For the distance to the lowest polymorph of the same formula, the calculation gives 536.8 meV per atom. The formation energy is 0.829 eV/atom.